Crystalline CrCdO2 at its relaxed geometry, computed with PBE with a Hubbard U.

Unit cell a=6.8246 b=6.8246 c=6.8246 alpha=25.48 beta=25.48 gamma=25.48
With the nearest neighbours (Å) after each atom.
Element x y z (fractional)
1 Cr 0.0000 0.0000 0.0000  6 O 2.01
2 Cd 0.5000 0.5000 0.5000  2 O 2.29
3 O 0.3844 0.3844 0.3844  3 Cr 2.01
4 O 0.6156 0.6156 0.6156  3 Cr 2.01

Results
The spin magnetization comes out at 2.66 μB/cell. Its electronic total energy is -23.81 eV/cell.